VASP calculation (PBE) on KNaNdTaO5 after structural relaxation.

The energy relative to the elements, uncorrected is -2370 kJ/mol of formula units. Its volume is 280.5 Å³ per cell. The density of states at the Fermi level comes out at 0.00 states/eV/f.u.

abc: 5.788 5.788 8.374
angles: 90.00 90.00 90.00
Space group P4/nmm (No. 129, origin choice 2)
One atom of each set of equivalent atoms:
K1 0.250 0.750 0.000
Na1 0.250 0.250 0.240
Nd1 0.250 0.750 0.500
Ta1 0.250 0.250 0.741
O1 0.020 0.020 0.670
O2 0.250 0.250 0.964